1) PmTh2Zr (PBE-GGA, relaxed); N(E_F) = 5.92 states/eV per cell
1.0
4.9497 0.0000 0.0000
0.0000 4.9462 0.0000
0.0000 0.0000 4.9462
Pm Th Zr
1 2 1
direct
0.5000 0.5000 0.5000
0.0000 0.5000 0.0000
0.0000 0.0000 0.5000
0.5000 0.0000 0.0000

---

2) PmTh2Zr (PBE-GGA, relaxed); N(E_F) = 5.90 states/eV per cell
1.0
3.4965 0.0000 0.0000
0.0000 3.4965 0.0000
0.0000 0.0000 9.9196
Th Zr Pm
2 1 1
direct
0.0000 0.0000 0.7667
0.0000 0.0000 0.2333
0.5000 0.5000 0.0000
0.5000 0.5000 0.5000

---

Quick one: least stable of them? 1)